The following is a DFT calculation (meta-GGA SCAN) of LaCuTc2 at its PBEsol-relaxed geometry.

Structure (CIF):
```
data_LaCuTc2
_chemical_formula_sum 'La1 Cu1 Tc2'
_cell_length_a 2.943
_cell_length_b 4.856
_cell_length_c 5.369
_cell_angle_alpha 115.28
_cell_angle_beta 103.44
_cell_angle_gamma 95.29
_space_group_name_H-M_alt 'P 1'
_space_group_IT_number 1
_space_group_name_Hall 'P 1'
loop_
_atom_site_label
_atom_site_type_symbol
_atom_site_fract_x
_atom_site_fract_y
_atom_site_fract_z
_atom_site_occupancy
Cu1 Cu 0.000 0.500 0.000 1
Tc1 Tc 0.500 0.500 0.500 1
Tc2 Tc 0.000 0.000 0.500 1
La1 La 0.500 0.000 0.000 1
```

Computed properties:
space-group type = No. 12
volume = 16.47 Å³ per atom
magnetization = 0.0 μB/cell
formation energy = 0.543 eV per atom

***

The following is a DFT calculation (meta-GGA SCAN) of KCdTc2 at its PBEsol-relaxed geometry.

Structure (CIF):
```
data_KCdTc2
_chemical_formula_sum 'K1 Cd1 Tc2'
_cell_length_a 2.724
_cell_length_b 4.899
_cell_length_c 6.210
_cell_angle_alpha 113.23
_cell_angle_beta 102.67
_cell_angle_gamma 90.00
_space_group_name_H-M_alt 'P 1'
_space_group_IT_number 1
_space_group_name_Hall 'P 1'
loop_
_atom_site_label
_atom_site_type_symbol
_atom_site_fract_x
_atom_site_fract_y
_atom_site_fract_z
_atom_site_occupancy
Cd1 Cd 0.500 0.000 0.000 1
K1 K 0.000 0.500 0.000 1
Tc1 Tc 0.225 0.225 0.450 1
Tc2 Tc 0.775 0.775 0.550 1
```

Computed properties:
space-group type = No. 71
volume = 18.48 Å³ per atom
magnetization = 0.0 μB/cell
formation energy = 1.039 eV per atom

***

The following is a DFT calculation (meta-GGA SCAN) of NbPbOF2 at its PBEsol-relaxed geometry.

Structure (CIF):
```
data_NbPbOF2
_chemical_formula_sum 'Nb1 Pb1 O1 F2'
_cell_length_a 4.420
_cell_length_b 4.528
_cell_length_c 4.528
_cell_angle_alpha 90.00
_cell_angle_beta 90.00
_cell_angle_gamma 90.00
_space_group_name_H-M_alt 'P 1'
_space_group_IT_number 1
_space_group_name_Hall 'P 1'
loop_
_atom_site_label
_atom_site_type_symbol
_atom_site_fract_x
_atom_site_fract_y
_atom_site_fract_z
_atom_site_occupancy
Pb1 Pb 0.000 0.000 0.000 1
O1 O 0.500 0.000 0.000 1
F1 F 0.000 0.500 0.000 1
F2 F 0.000 0.000 0.500 1
Nb1 Nb 0.500 0.500 0.500 1
```

Computed properties:
space-group type = No. 123
volume = 18.12 Å³ per atom
uncorrected formation energy = -0.6624 eV per atom
magnetization = 3.6 μB/cell

***

The following is a DFT calculation (meta-GGA SCAN) of Hf3FeBr at its PBEsol-relaxed geometry.

Structure (CIF):
```
data_Hf3FeBr
_chemical_formula_sum 'Hf3 Fe1 Br1'
_cell_length_a 4.770
_cell_length_b 4.770
_cell_length_c 4.770
_cell_angle_alpha 90.00
_cell_angle_beta 90.00
_cell_angle_gamma 90.00
_space_group_name_H-M_alt 'P 1'
_space_group_IT_number 1
_space_group_name_Hall 'P 1'
loop_
_atom_site_label
_atom_site_type_symbol
_atom_site_fract_x
_atom_site_fract_y
_atom_site_fract_z
_atom_site_occupancy
Hf1 Hf 0.500 0.000 0.000 1
Hf2 Hf 0.000 0.500 0.000 1
Hf3 Hf 0.000 0.000 0.500 1
Fe1 Fe 0.000 0.000 0.000 1
Br1 Br 0.500 0.500 0.500 1
```

Computed properties:
space-group type = No. 221
volume = 21.71 Å³ per atom
uncorrected formation energy = 0.3558 eV per atom
magnetization = 0.0 μB/cell

***

The following is a DFT calculation (meta-GGA SCAN) of MnCuPO2 at its PBEsol-relaxed geometry.

Structure (CIF):
```
data_MnCuPO2
_chemical_formula_sum 'Mn1 Cu1 P1 O2'
_cell_length_a 3.644
_cell_length_b 3.644
_cell_length_c 4.680
_cell_angle_alpha 90.00
_cell_angle_beta 90.00
_cell_angle_gamma 90.00
_space_group_name_H-M_alt 'P 1'
_space_group_IT_number 1
_space_group_name_Hall 'P 1'
loop_
_atom_site_label
_atom_site_type_symbol
_atom_site_fract_x
_atom_site_fract_y
_atom_site_fract_z
_atom_site_occupancy
Cu1 Cu 0.000 0.000 0.000 1
O1 O 0.000 0.500 0.000 1
O2 O 0.500 0.000 0.000 1
Mn1 Mn 0.500 0.500 0.500 1
P1 P 0.000 0.000 0.500 1
```

Computed properties:
space-group type = No. 123
volume = 12.43 Å³ per atom
uncorrected formation energy = -0.0859 eV per atom
magnetization = 4.7 μB/cell

***

The following is a DFT calculation (meta-GGA SCAN) of Tb5Ge10Ir4 at its PBEsol-relaxed geometry.

Structure (CIF):
```
data_Tb5Ge10Ir4
_chemical_formula_sum 'Tb10 Ge20 Ir8'
_cell_length_a 4.300
_cell_length_b 12.878
_cell_length_c 12.878
_cell_angle_alpha 90.00
_cell_angle_beta 90.00
_cell_angle_gamma 90.00
_space_group_name_H-M_alt 'P 1'
_space_group_IT_number 1
_space_group_name_Hall 'P 1'
loop_
_atom_site_label
_atom_site_type_symbol
_atom_site_fract_x
_atom_site_fract_y
_atom_site_fract_z
_atom_site_occupancy
Tb1 Tb 0.500 0.385 0.115 1
Tb2 Tb 0.000 0.000 0.000 1
Tb3 Tb 0.500 0.615 0.885 1
Tb4 Tb 0.500 0.174 0.326 1
Tb5 Tb 0.500 0.826 0.674 1
Tb6 Tb 0.500 0.885 0.385 1
Tb7 Tb 0.500 0.674 0.174 1
Tb8 Tb 0.500 0.115 0.615 1
Tb9 Tb 0.500 0.326 0.826 1
Tb10 Tb 0.000 0.500 0.500 1
Ir1 Ir 0.000 0.246 0.980 1
Ir2 Ir 0.000 0.480 0.746 1
Ir3 Ir 0.000 0.520 0.254 1
Ir4 Ir 0.000 0.980 0.754 1
Ir5 Ir 0.000 0.746 0.520 1
Ir6 Ir 0.000 0.754 0.020 1
Ir7 Ir 0.000 0.254 0.480 1
Ir8 Ir 0.000 0.020 0.246 1
Ge1 Ge 0.000 0.199 0.164 1
Ge2 Ge 0.000 0.433 0.933 1
Ge3 Ge 0.000 0.699 0.336 1
Ge4 Ge 0.000 0.567 0.067 1
Ge5 Ge 0.000 0.301 0.664 1
Ge6 Ge 0.000 0.801 0.836 1
Ge7 Ge 0.000 0.164 0.801 1
Ge8 Ge 0.000 0.336 0.301 1
Ge9 Ge 0.500 0.843 0.003 1
Ge10 Ge 0.500 0.503 0.343 1
Ge11 Ge 0.500 0.497 0.657 1
Ge12 Ge 0.000 0.067 0.433 1
Ge13 Ge 0.000 0.664 0.699 1
Ge14 Ge 0.000 0.836 0.199 1
Ge15 Ge 0.500 0.657 0.503 1
Ge16 Ge 0.500 0.157 0.997 1
Ge17 Ge 0.500 0.343 0.497 1
Ge18 Ge 0.500 0.003 0.157 1
Ge19 Ge 0.500 0.997 0.843 1
Ge20 Ge 0.000 0.933 0.567 1
```

Computed properties:
space-group type = No. 127
volume = 18.77 Å³ per atom
magnetization = 0.0 μB/cell
formation energy = -0.932 eV per atom

***

The following is a DFT calculation (meta-GGA SCAN) of Y2AlCo at its PBEsol-relaxed geometry.

Structure (CIF):
```
data_Y2AlCo
_chemical_formula_sum 'Y2 Al1 Co1'
_cell_length_a 3.818
_cell_length_b 4.232
_cell_length_c 5.684
_cell_angle_alpha 90.00
_cell_angle_beta 109.62
_cell_angle_gamma 90.00
_space_group_name_H-M_alt 'P 1'
_space_group_IT_number 1
_space_group_name_Hall 'P 1'
loop_
_atom_site_label
_atom_site_type_symbol
_atom_site_fract_x
_atom_site_fract_y
_atom_site_fract_z
_atom_site_occupancy
Y1 Y 0.981 0.000 0.962 1
Y2 Y 0.264 0.500 0.529 1
Al1 Al 0.687 0.000 0.374 1
Co1 Co 0.568 0.500 0.136 1
```

Computed properties:
space-group type = No. 38
volume = 21.63 Å³ per atom
magnetization = 0.6 μB/cell
formation energy = -0.220 eV per atom

***

The following is a DFT calculation (meta-GGA SCAN) of YTl2In at its PBEsol-relaxed geometry.

Structure (CIF):
```
data_YTl2In
_chemical_formula_sum 'Y1 Tl2 In1'
_cell_length_a 4.643
_cell_length_b 4.598
_cell_length_c 4.642
_cell_angle_alpha 90.00
_cell_angle_beta 90.00
_cell_angle_gamma 90.00
_space_group_name_H-M_alt 'P 1'
_space_group_IT_number 1
_space_group_name_Hall 'P 1'
loop_
_atom_site_label
_atom_site_type_symbol
_atom_site_fract_x
_atom_site_fract_y
_atom_site_fract_z
_atom_site_occupancy
In1 In 0.500 0.500 0.500 1
Tl1 Tl 0.000 0.000 0.500 1
Tl2 Tl 0.500 0.000 0.000 1
Y1 Y 0.000 0.500 0.000 1
```

Computed properties:
space-group type = No. 123
volume = 24.77 Å³ per atom
magnetization = 0.0 μB/cell
formation energy = -0.419 eV per atom

***

The following is a DFT calculation (meta-GGA SCAN) of BaLa3 at its PBEsol-relaxed geometry.

Structure (CIF):
```
data_BaLa3
_chemical_formula_sum 'Ba1 La3'
_cell_length_a 3.716
_cell_length_b 3.716
_cell_length_c 10.941
_cell_angle_alpha 90.00
_cell_angle_beta 90.00
_cell_angle_gamma 90.00
_space_group_name_H-M_alt 'P 1'
_space_group_IT_number 1
_space_group_name_Hall 'P 1'
loop_
_atom_site_label
_atom_site_type_symbol
_atom_site_fract_x
_atom_site_fract_y
_atom_site_fract_z
_atom_site_occupancy
La1 La 0.500 0.500 0.283 1
La2 La 0.500 0.500 0.717 1
La3 La 0.000 0.000 0.500 1
Ba1 Ba 0.000 0.000 0.000 1
```

Computed properties:
space-group type = No. 123
volume = 37.77 Å³ per atom
magnetization = 0.0 μB/cell
formation energy = 0.090 eV per atom

***

The following is a DFT calculation (meta-GGA SCAN) of RePPt2 at its PBEsol-relaxed geometry.

Structure (CIF):
```
data_RePPt2
_chemical_formula_sum 'Re1 P1 Pt2'
_cell_length_a 4.329
_cell_length_b 4.329
_cell_length_c 4.329
_cell_angle_alpha 60.00
_cell_angle_beta 60.00
_cell_angle_gamma 60.00
_space_group_name_H-M_alt 'P 1'
_space_group_IT_number 1
_space_group_name_Hall 'P 1'
loop_
_atom_site_label
_atom_site_type_symbol
_atom_site_fract_x
_atom_site_fract_y
_atom_site_fract_z
_atom_site_occupancy
P1 P 0.500 0.500 0.500 1
Re1 Re 0.250 0.250 0.250 1
Pt1 Pt 0.750 0.750 0.750 1
Pt2 Pt 0.000 0.000 0.000 1
```

Computed properties:
space-group type = No. 216
volume = 14.34 Å³ per atom
magnetization = 0.0 μB/cell
formation energy = 0.270 eV per atom

***

The following is a DFT calculation (meta-GGA SCAN) of SbRu4 at its PBEsol-relaxed geometry.

Structure (CIF):
```
data_SbRu4
_chemical_formula_sum 'Sb1 Ru4'
_cell_length_a 3.492
_cell_length_b 3.492
_cell_length_c 6.940
_cell_angle_alpha 104.57
_cell_angle_beta 104.57
_cell_angle_gamma 90.00
_space_group_name_H-M_alt 'P 1'
_space_group_IT_number 1
_space_group_name_Hall 'P 1'
loop_
_atom_site_label
_atom_site_type_symbol
_atom_site_fract_x
_atom_site_fract_y
_atom_site_fract_z
_atom_site_occupancy
Ru1 Ru 0.750 0.250 0.500 1
Ru2 Ru 0.250 0.750 0.500 1
Ru3 Ru 0.398 0.398 0.797 1
Ru4 Ru 0.602 0.602 0.203 1
Sb1 Sb 0.000 0.000 0.000 1
```

Computed properties:
space-group type = No. 139
volume = 15.82 Å³ per atom
uncorrected formation energy = 0.4219 eV per atom
magnetization = 0.0 μB/cell

***

The following is a DFT calculation (meta-GGA SCAN) of NaSiGe3 at its PBEsol-relaxed geometry.

Structure (CIF):
```
data_NaSiGe3
_chemical_formula_sum 'Na1 Si1 Ge3'
_cell_length_a 4.896
_cell_length_b 4.896
_cell_length_c 4.896
_cell_angle_alpha 90.00
_cell_angle_beta 90.00
_cell_angle_gamma 90.00
_space_group_name_H-M_alt 'P 1'
_space_group_IT_number 1
_space_group_name_Hall 'P 1'
loop_
_atom_site_label
_atom_site_type_symbol
_atom_site_fract_x
_atom_site_fract_y
_atom_site_fract_z
_atom_site_occupancy
Ge1 Ge 0.500 0.000 0.000 1
Ge2 Ge 0.000 0.500 0.000 1
Ge3 Ge 0.000 0.000 0.500 1
Si1 Si 0.500 0.500 0.500 1
Na1 Na 0.000 0.000 0.000 1
```

Computed properties:
space-group type = No. 221
volume = 23.47 Å³ per atom
uncorrected formation energy = 1.3993 eV per atom
magnetization = 0.0 μB/cell

***

Going through the records in order, we get raw total energy values of -31.56, -26.18, -25.11, -44.77, -11.35, -38.25, -20.41, -51.91, -42.13, -55.20, -34.89, -12.90 eV/atom.